# 1
VASP calculation (GGA-PBEsol) on a geometry-optimized LiCoO2F structure.

Lattice parameters (Å, degrees): 3.5736 3.5736 3.4153 90.00 90.00 90.00
With the nearest neighbours (Å) after each atom.
Space group P4/mmm (No. 123)
Inequivalent atoms, fractional coordinates:
Li  0.0000  0.0000  0.0000 x1  2 F 1.71, 4 O 1.79
Co  0.5000  0.5000  0.5000 x1  8 O 2.47, 4 F 2.53
O  0.0000  0.5000  0.0000 x2  2 Li 1.79
F  0.0000  0.0000  0.5000 x1  2 Li 1.71

Summary:
M_tot: 5.00 μB per formula unit
energy relative to the elements, uncorrected: -359 meV per atom

# 2
VASP calculation (GGA-PBEsol) on a geometry-optimized ReSbTe4 structure.

Lattice parameters (Å, degrees): 8.6728 8.6728 8.6728 90.00 90.00 90.00
With the nearest neighbours (Å) after each atom.
Space group F-43m (No. 216)
Inequivalent atoms, fractional coordinates:
Re  0.0000  0.0000  0.0000 x4  12 Te 3.59, 4 Sb 3.76
Sb  0.2500  0.2500  0.7500 x4  12 Te 3.60, 4 Re 3.76
Te  0.1257  0.1257  0.3743 x16  6 Te 3.05-3.08

Summary:
M_tot: 3.75 μB per formula unit
energy relative to the elements, uncorrected: 1389 meV per atom

# 3
VASP calculation (GGA-PBEsol) on a geometry-optimized LiAl2Ga2 structure.

Lattice parameters (Å, degrees): 4.0448 4.0448 11.2258 90.00 90.00 90.00
With the nearest neighbours (Å) after each atom.
Space group I4/mmm (No. 139)
Inequivalent atoms, fractional coordinates:
Li  0.0000  0.0000  0.0000 x2  8 Ga 3.10, 8 Al 3.46
Al  0.0000  0.5000  0.2500 x4  4 Ga 2.58, 4 Al 2.86
Ga  0.0000  0.0000  0.3934 x4  1 Ga 2.39, 4 Al 2.58

Summary:
ΔE to the lowest computed polymorph: 0.0 meV per atom
M_tot: 0.00 μB per formula unit
formation energy: -11.7 kJ per mole of atoms

# 4
VASP calculation (GGA-PBEsol) on a geometry-optimized CaScS2 structure.

Lattice parameters (Å, degrees): 3.7945 3.7945 24.1945 90.00 90.00 120.00
With the nearest neighbours (Å) after each atom.
Space group R-3m (No. 166, hexagonal axes)
Inequivalent atoms, fractional coordinates:
Ca  0.0000  0.0000  0.0000 x3  2 S 2.67
Sc  0.0000  0.0000  0.5000 x3  6 S 2.58
S  0.0000  0.0000  0.1102 x6  3 Sc 2.58, 1 Ca 2.67

Summary:
M_tot: 0.00 μB per formula unit
energy relative to the elements, uncorrected: -1568 meV per atom

M_tot of number 2 (ReSbTe4)?
3.75 μB per formula unit